(1)
First-principles (meta-GGA SCAN) data for a crystal of Ta2PPt relaxed with PBEsol, as listed in Alexandria.

```
4
Lattice="1.454 0.840 8.750 -1.454 0.840 8.750 0.000 -1.680 8.750" Properties=species:S:1:pos:R:3 pbc="T T T"
Ta 0.000 0.000 0.000
Ta 0.000 0.000 6.278
P 0.000 0.000 19.499
Pt 0.000 0.000 12.862
```

Properties
Total magnetization (μB/atom): 0.000
SG: R3m (160)
Crystal system: trigonal
Energy relative to the elements (kcal/mol of atoms): -1.73

=====

(2)
First-principles (meta-GGA SCAN) data for a crystal of TcP3Pt relaxed with PBEsol, as listed in Alexandria.

```
5
Lattice="4.486 0.000 0.000 0.000 4.486 0.000 0.000 0.000 4.486" Properties=species:S:1:pos:R:3 pbc="T T T"
Tc 0.000 0.000 0.000
P 0.000 0.000 2.243
P 0.000 2.243 0.000
P 2.243 0.000 0.000
Pt 2.243 2.243 2.243
```

Properties
Total magnetization (μB/atom): 0.000
SG: Pm-3m (221)
Crystal system: cubic
Energy relative to the elements (kcal/mol of atoms): 18.96

=====

(3)
First-principles (meta-GGA SCAN) data for a crystal of Tc2PPt relaxed with PBEsol, as listed in Alexandria.

```
4
Lattice="3.718 0.000 0.000 0.000 3.718 0.000 0.000 0.000 3.972" Properties=species:S:1:pos:R:3 pbc="T T T"
Tc 0.000 1.859 0.000
Tc 1.859 0.000 0.000
P 0.000 0.000 1.986
Pt 1.859 1.859 1.986
```

Properties
Total magnetization (μB/atom): 0.000
SG: P4/mmm (123)
Crystal system: tetragonal
Energy relative to the elements (kcal/mol of atoms): 4.31

=====

(4)
First-principles (meta-GGA SCAN) data for a crystal of TcPPt relaxed with PBEsol, as listed in Alexandria.

```
3
Lattice="0.000 2.793 2.793 2.793 0.000 2.793 2.793 2.793 0.000" Properties=species:S:1:pos:R:3 pbc="T T T"
Tc 0.000 0.000 0.000
P 1.396 1.396 1.396
Pt 2.793 2.793 2.793
```

Properties
Total magnetization (μB/atom): 0.039
SG: F-43m (216)
Crystal system: cubic
Energy relative to the elements (kcal/mol of atoms): -10.91

=====

(5)
First-principles (meta-GGA SCAN) data for a crystal of Tc3PPt relaxed with PBEsol, as listed in Alexandria.

```
5
Lattice="4.652 0.000 0.000 0.000 4.652 0.000 0.000 0.000 4.652" Properties=species:S:1:pos:R:3 pbc="T T T"
Tc 0.000 0.000 2.326
Tc 0.000 2.326 0.000
Tc 2.326 0.000 0.000
P 2.326 2.326 2.326
Pt 0.000 0.000 0.000
```

Properties
Total magnetization (μB/atom): 1.009
SG: Pm-3m (221)
Crystal system: cubic
Energy relative to the elements (kcal/mol of atoms): 49.05

=====

(6)
First-principles (meta-GGA SCAN) data for a crystal of Te2PPt relaxed with PBEsol, as listed in Alexandria.

```
4
Lattice="-2.729 2.729 2.852 2.729 -2.729 2.852 2.729 2.729 -2.852" Properties=species:S:1:pos:R:3 pbc="T T T"
Te 2.729 0.000 0.000
Te 0.000 2.729 0.000
P 0.000 0.000 0.000
Pt 0.000 0.000 2.852
```

Properties
Total magnetization (μB/atom): 0.000
SG: I4/mmm (139)
Crystal system: tetragonal
Raw formation energy (eV per formula unit): 0.180

=====

(7)
First-principles (meta-GGA SCAN) data for a crystal of TlPPt2 relaxed with PBEsol, as listed in Alexandria.

```
4
Lattice="-1.949 1.949 4.374 1.949 -1.949 4.374 1.949 1.949 -4.374" Properties=species:S:1:pos:R:3 pbc="T T T"
Tl 0.000 0.000 0.000
P 0.000 1.949 2.187
Pt 1.949 0.000 2.187
Pt 0.000 0.000 4.374
```

Properties
Total magnetization (μB/atom): 0.000
SG: I-4m2 (119)
Crystal system: tetragonal
E above lowest polymorph (meV per atom): 561
Energy relative to the elements (kcal/mol of atoms): 8.09

=====

(8)
First-principles (meta-GGA SCAN) data for a crystal of TlP2Pt relaxed with PBEsol, as listed in Alexandria.

```
4
Lattice="-2.242 2.242 3.400 2.242 -2.242 3.400 2.242 2.242 -3.400" Properties=species:S:1:pos:R:3 pbc="T T T"
Tl 0.000 0.000 0.000
P 2.242 0.000 1.700
P 0.000 2.242 1.700
Pt 0.000 0.000 3.400
```

Properties
Total magnetization (μB/atom): 0.000
SG: I4/mmm (139)
Crystal system: tetragonal
Energy relative to the elements (kcal/mol of atoms): 15.84

=====

Question: What is the formula in the fifth record?
Answer: Tc3PPt